The following is a DFT calculation (PBEsol) of Ga2GeSI after structural relaxation.

a b c (Å): 4.9998 5.5995 5.5995
angles (deg): 90.00 90.00 90.00
Positions (direct):
1 Ge 0.5000 0.5000 0.5000
2 Ga 0.0000 0.5000 0.0000
3 Ga 0.0000 0.0000 0.5000
4 S 0.5000 0.0000 0.0000
5 I 0.0000 0.0000 0.0000

Output
E_form (uncorrected), eV per atom: 0.9515